A plane-wave DFT calculation with GGA-PBEsol was carried out for an optimized crystal structure of CrCuTe2.

Its distance to the lowest polymorph of the same formula is 0.0000 eV per atom. As for the calculated volume: 20.61 Å³/atom. The spin magnetization is 3.13 μB/f.u. As for the uncorrected energy: -5.36 eV/atom. Its formation energy from raw total energies is 1.2 kcal/mol of atoms.

It has space group R-3m (No. 166, hexagonal axes), with a = 3.8575 Å, b = 3.8575 Å, c = 19.1871 Å, α = 90.00°, β = 90.00° and γ = 120.00°. The asymmetric unit holds Cr at (0.0000, 0.0000, 0.0000), Cu at (0.0000, 0.0000, 0.5000) and Te at (0.0000, 0.0000, 0.2504).